(1)
La2ScGeC | PBE | optimized geometry

The structure in POSCAR format:
```
La2ScGeC
1.0
5.171 0.000 0.000
0.000 5.171 0.000
0.000 0.000 4.531
Sc Ge C La
1 1 1 2
Direct
0.000 0.000 0.500
0.500 0.500 0.500
0.000 0.000 0.000
0.000 0.500 0.000
0.500 0.000 0.000
```

Output
E_form: -2.16 eV/f.u.
Crystal system: tetragonal
Symmetry: P4/mmm, No. 123

***

(2)
LiInPb | PBE | optimized geometry

The structure in POSCAR format:
```
LiInPb
1.0
-5.122 -0.280 1.393
2.960 -4.412 -0.142
0.825 0.453 3.122
Pb Li In
1 1 1
Direct
0.333 0.667 0.000
0.667 0.333 0.500
0.000 0.000 0.000
```

Output
E_form: -0.27 eV/f.u.
Crystal system: hexagonal
Symmetry: P-6m2, No. 187

***

(3)
SrNdMgHg | PBE | optimized geometry

The structure in POSCAR format:
```
SrNdMgHg
1.0
-5.182 -1.270 1.664
-2.574 -4.507 -2.072
-0.877 -4.459 3.252
Sr Mg Nd Hg
1 1 1 1
Direct
0.000 0.000 0.000
0.250 0.250 0.250
0.500 0.500 0.500
0.750 0.750 0.750
```

Output
E_form: -0.97 eV/f.u.
Crystal system: cubic
Symmetry: F-43m, No. 216
Energy above the lowest structure with this stoichiometry: 4.0 kJ per mole of atoms

***

(4)
NaTm2Pd | PBE | optimized geometry

The structure in POSCAR format:
```
NaTm2Pd
1.0
-1.821 1.493 -2.478
-2.808 -1.616 1.089
-1.933 7.267 5.800
Na Tm Pd
1 2 1
Direct
0.500 0.500 0.500
0.000 0.000 0.822
0.000 0.000 0.178
0.500 0.500 0.000
```

Output
E_form: -1.29 eV/f.u.
Crystal system: tetragonal
Symmetry: P4/mmm, No. 123
Energy above the lowest structure with this stoichiometry: 0.0 kJ per mole of atoms

***

(5)
ScTiGaNi | PBE | optimized geometry

The structure in POSCAR format:
```
ScTiGaNi
1.0
-1.935 -0.579 4.027
0.255 -3.995 2.068
2.556 -0.472 3.680
Sc Ni Ga Ti
1 1 1 1
Direct
0.750 0.750 0.750
0.000 0.000 0.000
0.500 0.500 0.500
0.250 0.250 0.250
```

Output
E_form: -1.59 eV/f.u.
Crystal system: cubic
Symmetry: F-43m, No. 216

***

(6)
AcSmDy6 | PBE | optimized geometry

The structure in POSCAR format:
```
AcSmDy6
1.0
-2.288 4.525 3.171
-5.771 -1.161 1.055
0.519 -3.384 8.237
Ac Sm Dy
1 1 6
Direct
0.000 0.000 0.000
0.500 0.500 0.500
0.479 0.957 0.700
0.957 0.479 0.700
0.043 0.521 0.300
0.521 0.043 0.300
0.623 0.623 0.081
0.377 0.377 0.919
```

Output
E_form: 3.19 eV/f.u.
Crystal system: monoclinic
Symmetry: C2/m, No. 12
Energy above the lowest structure with this stoichiometry: 34.6 kJ per mole of atoms